[1]
Density functional theory data (PBE) for Th3CuTe6 after structural relaxation.

E_tot: -221.0 eV for the cell shown
energy above the most stable polymorph in this dataset: 0 meV per atom
Fermi-level density of states: 12.5 states/eV per cell
calculated volume: 33.23 A^3/atom
formation energy from raw total energies: -1.005 eV per atom

Lattice parameters (Å, degrees): 12.311 14.798 7.296 90.00 90.00 90.00
Space group Cmc2_1 (No. 36)
Unique sites:
Th (0.000, 0.110, 0.000) x4
Th (0.166, 0.402, 0.106) x8
Cu (0.000, 0.282, 0.675) x4
Te (0.000, 0.271, 0.307) x4
Te (0.000, 0.457, 0.784) x4
Te (0.162, 0.034, 0.304) x8
Te (0.180, 0.233, 0.830) x8

=====

[2]
Density functional theory data (PBE) for Er2InI after structural relaxation.

E_tot: -45.6 eV for the cell shown
Fermi-level density of states: 8.0 states/eV per cell
calculated volume: 30.92 A^3/atom
formation energy from raw total energies: -0.450 eV per atom

Lattice parameters (Å, degrees): 4.4308 4.4308 21.8244 90.00 90.00 120.00
Space group R-3m (No. 166, hexagonal axes)
Unique sites:
Er (0.0000, 0.0000, 0.2374) x6
In (0.0000, 0.0000, 0.5000) x3
I (0.0000, 0.0000, 0.0000) x3

=====

[3]
Density functional theory data (PBE) for Rb2SmHoSe4 after structural relaxation.

E_tot: -39.0 eV for the cell shown
Fermi-level density of states: 0.0 states/eV per cell
calculated volume: 31.69 A^3/atom
formation energy from raw total energies: -1.735 eV per atom

Lattice parameters (Å, degrees): 7.406 4.276 8.375 90.00 107.13 90.00
Space group P2/m (No. 10)
Unique sites:
Rb (0.000, 0.000, 0.000) x1
Rb (0.500, 0.500, 0.000) x1
Sm (0.000, 0.500, 0.500) x1
Ho (0.500, 0.000, 0.500) x1
Se (0.238, 0.000, 0.698) x2
Se (0.274, 0.500, 0.304) x2

=====

[4]
Density functional theory data (PBE) for FeCo after structural relaxation.

E_tot: -56.6 eV for the cell shown
Fermi-level density of states: 10.5 states/eV per cell
formation enthalpy at 0 K: 0.713 eV per atom
calculated volume: 12.95 A^3/atom

Lattice parameters (Å, degrees): 4.697 4.697 4.697 90.00 90.00 90.00
Space group Fm-3m (No. 225)
Unique sites:
Fe (0.000, 0.000, 0.000) x4
Co (0.000, 0.000, 0.500) x4